Record 1
Ti2NiH3 | PBE-GGA | optimized geometry

Cell and atoms, written as extended XYZ:
```
6
Lattice="-1.4780 1.7142 5.0093 1.4780 -1.7142 5.0093 1.4780 1.7142 -5.0093" Properties=species:S:1:pos:R:3 pbc="T T T"
Ti 0.0000 0.0000 1.4738
Ti 0.0000 0.0000 8.5447
Ni 0.0000 0.0000 5.0093
H 1.4780 0.0000 0.0000
H 1.4780 0.0000 2.6409
H 0.0000 1.7142 2.3684
```

Results
Theoretical density (kg/m3): 5150
Uncorrected energy (eV/f.u.): -34.03
Space group: Immm

Record 2
Be2GaPb | PBE-GGA | optimized geometry

Cell and atoms, written as extended XYZ:
```
4
Lattice="0.0000 3.2591 3.2591 3.2591 0.0000 3.2591 3.2591 3.2591 0.0000" Properties=species:S:1:pos:R:3 pbc="T T T"
Be 1.6296 1.6296 1.6296
Be 4.8887 4.8887 4.8887
Ga 0.0000 0.0000 0.0000
Pb 3.2591 3.2591 3.2591
```

Results
ΔE to the lowest computed polymorph (kJ per mole of atoms): 0.0
Formation energy from the elements (eV per atom): 0.7121
Theoretical density (kg/m3): 7074
Uncorrected energy (eV/f.u.): -11.34
Space group: Fm-3m

Record 3
NaTl | PBE-GGA | optimized geometry

Cell and atoms, written as extended XYZ:
```
8
Lattice="5.3232 0.0000 0.0000 -2.6616 4.6100 0.0000 0.0000 0.0000 10.1818" Properties=species:S:1:pos:R:3 pbc="T T T"
Na 0.0000 3.0733 0.7984
Na 0.0000 3.0733 4.2925
Na 2.6616 1.5367 5.8893
Na 2.6616 1.5367 9.3834
Tl 0.0000 0.0000 2.5454
Tl 0.0000 0.0000 7.6363
Tl 0.0000 3.0733 7.6363
Tl 2.6616 1.5367 2.5454
```

Results
Formation energy from the elements (eV per atom): -0.0580
Theoretical density (kg/m3): 6044
Uncorrected energy (eV/f.u.): -3.80
Space group: P6_3/mmc

Record 4
Zr4ZnN5 | PBE-GGA | optimized geometry

Cell and atoms, written as extended XYZ:
```
10
Lattice="-3.6406 3.6406 2.2732 3.6406 -3.6406 2.2732 3.6406 3.6406 -2.2732" Properties=species:S:1:pos:R:3 pbc="T T T"
Zr 5.1133 0.7662 0.0000
Zr 0.7662 2.1679 0.0000
Zr 2.8745 1.4727 2.2732
Zr -1.4727 2.8745 2.2732
Zn 0.0000 0.0000 2.2732
N 0.0000 0.0000 0.0000
N 2.9358 1.4543 0.0000
N 2.1863 -0.7048 2.2732
N 1.4543 4.3454 0.0000
N 0.7048 2.1863 2.2732
```

Results
Formation energy without anion corrections (eV per atom): -1.321
Theoretical density (kg/m3): 6894
Uncorrected energy (eV/f.u.): -90.31
Space group: I4/m

Repeat the fourth record exactly.
Zr4ZnN5 | PBE-GGA | optimized geometry

Cell and atoms, written as extended XYZ:
```
10
Lattice="-3.6406 3.6406 2.2732 3.6406 -3.6406 2.2732 3.6406 3.6406 -2.2732" Properties=species:S:1:pos:R:3 pbc="T T T"
Zr 5.1133 0.7662 0.0000
Zr 0.7662 2.1679 0.0000
Zr 2.8745 1.4727 2.2732
Zr -1.4727 2.8745 2.2732
Zn 0.0000 0.0000 2.2732
N 0.0000 0.0000 0.0000
N 2.9358 1.4543 0.0000
N 2.1863 -0.7048 2.2732
N 1.4543 4.3454 0.0000
N 0.7048 2.1863 2.2732
```

Results
Formation energy without anion corrections (eV per atom): -1.321
Theoretical density (kg/m3): 6894
Uncorrected energy (eV/f.u.): -90.31
Space group: I4/m

Please write out number 4 again, unchanged.
Zr4ZnN5 | PBE-GGA | optimized geometry

Cell and atoms, written as extended XYZ:
```
10
Lattice="-3.6406 3.6406 2.2732 3.6406 -3.6406 2.2732 3.6406 3.6406 -2.2732" Properties=species:S:1:pos:R:3 pbc="T T T"
Zr 5.1133 0.7662 0.0000
Zr 0.7662 2.1679 0.0000
Zr 2.8745 1.4727 2.2732
Zr -1.4727 2.8745 2.2732
Zn 0.0000 0.0000 2.2732
N 0.0000 0.0000 0.0000
N 2.9358 1.4543 0.0000
N 2.1863 -0.7048 2.2732
N 1.4543 4.3454 0.0000
N 0.7048 2.1863 2.2732
```

Results
Formation energy without anion corrections (eV per atom): -1.321
Theoretical density (kg/m3): 6894
Uncorrected energy (eV/f.u.): -90.31
Space group: I4/m